A plane-wave DFT calculation with PBE was carried out for a relaxed structure of CaBe3N.

Output
Crystal system: cubic
Total DFT energy (no corrections): -1.413 eV per atom
ΔE to the lowest computed polymorph: 2269 meV/atom
ΔE_f (raw): 2888 meV per atom

Cell lengths 5.761, 5.761, 5.761 Å; angles 90.00, 90.00, 90.00 degrees
Space group Pm-3m (No. 221)
Symmetry-distinct sites (fractional):
Ca 0.000 0.000 0.000 (multiplicity 1)
Be 0.000 0.000 0.500 (multiplicity 3)
N 0.500 0.500 0.500 (multiplicity 1)